Entry 1:
Below is a geometry-optimized PmBeAg structure, with properties calculated at the PBE level.

Cell and atoms, written as POSCAR:
```
PmBeAg
1.0
0.000 3.370 3.370
3.370 0.000 3.370
3.370 3.370 0.000
Be Ag Pm
1 1 1
direct
0.750 0.750 0.750
0.250 0.250 0.250
0.000 0.000 0.000
```

Computed properties:
- E (eV/f.u.) = -9.31
- crystal system = cubic
- space-group type = No. 216


Entry 2:
Below is a geometry-optimized ErSiPb structure, with properties calculated at the PBE level.

Cell and atoms, written as POSCAR:
```
ErSiPb
1.0
3.316 2.903 2.123
-1.455 3.846 2.649
0.529 -0.039 4.863
Pb Er Si
1 1 1
direct
0.750 0.750 0.750
0.250 0.250 0.250
0.000 0.000 0.000
```

Computed properties:
- E (eV/f.u.) = -13.77
- crystal system = cubic
- space-group type = No. 216


Entry 3:
Below is a geometry-optimized YAgB4 structure, with properties calculated at the PBE level.

Cell and atoms, written as POSCAR:
```
YAgB4
1.0
3.225 0.000 0.000
-1.612 2.793 0.000
0.000 0.000 7.312
Ag Y B
1 1 4
direct
0.000 0.000 0.000
0.000 0.000 0.500
0.667 0.333 0.754
0.333 0.667 0.754
0.667 0.333 0.246
0.333 0.667 0.246
```

Computed properties:
- E (eV/f.u.) = -35.92
- crystal system = hexagonal
- space-group type = No. 191


Entry 4:
Below is a geometry-optimized Ba4MgCd structure, with properties calculated at the PBE level.

Cell and atoms, written as POSCAR:
```
Ba4MgCd
1.0
4.315 0.000 0.000
0.000 4.315 0.000
0.000 0.000 15.231
Mg Ba Cd
1 4 1
direct
0.500 0.500 0.500
0.500 0.500 0.131
0.000 0.000 0.640
0.000 0.000 0.360
0.500 0.500 0.869
0.000 0.000 0.000
```

Computed properties:
- E (eV/f.u.) = -10.95
- crystal system = tetragonal
- space-group type = No. 123


Entry 5:
Below is a geometry-optimized PmAsNO structure, with properties calculated at the PBE level.

Cell and atoms, written as POSCAR:
```
PmAsNO
1.0
4.413 0.000 0.000
0.000 5.666 0.000
0.000 0.000 5.915
Pm As N O
2 2 2 2
direct
0.500 0.220 0.539
0.500 0.780 0.039
0.000 0.324 0.917
0.000 0.676 0.417
0.000 0.590 0.101
0.000 0.410 0.601
0.500 0.871 0.689
0.500 0.129 0.189
```

Computed properties:
- E (eV/f.u.) = -27.43
- crystal system = orthorhombic
- space-group type = No. 26


Entry 6:
Below is a geometry-optimized NaAlCoSb structure, with properties calculated at the PBE level.

Cell and atoms, written as POSCAR:
```
NaAlCoSb
1.0
0.000 3.296 3.296
3.296 0.000 3.296
3.296 3.296 0.000
Al Na Sb Co
1 1 1 1
direct
0.500 0.500 0.500
0.750 0.750 0.750
0.250 0.250 0.250
0.000 0.000 0.000
```

Computed properties:
- E (eV/f.u.) = -14.61
- crystal system = cubic
- space-group type = No. 216


Entry 7:
Below is a geometry-optimized IrI2Br structure, with properties calculated at the PBE level.

Cell and atoms, written as POSCAR:
```
IrI2Br
1.0
6.784 0.000 0.000
0.000 6.109 3.557
0.000 -6.109 3.557
Ir Br I
2 2 4
direct
0.246 0.001 0.001
0.754 0.001 0.001
0.000 0.273 0.999
0.000 0.999 0.273
0.500 0.718 0.007
0.000 0.707 0.707
0.500 0.293 0.293
0.500 0.007 0.718
```

Computed properties:
- E (eV/f.u.) = -14.11
- crystal system = orthorhombic
- space-group type = No. 38


Entry 8:
Below is a geometry-optimized Y2HoIn3AgPt2 structure, with properties calculated at the PBE level.

Cell and atoms, written as POSCAR:
```
Y2HoIn3AgPt2
1.0
3.767 0.000 0.000
0.000 6.766 3.919
0.000 -6.766 3.919
Ho In Y Pt Ag
1 3 2 2 1
direct
0.000 0.591 0.591
0.500 0.000 0.731
0.500 0.731 0.000
0.500 0.269 0.269
0.000 0.000 0.409
0.000 0.409 0.000
0.500 0.666 0.335
0.500 0.335 0.666
0.000 0.000 0.000
```

Computed properties:
- E (eV/f.u.) = -48.11
- crystal system = orthorhombic
- space-group type = No. 38


Entry 9:
Below is a geometry-optimized RbHfAgTeSeS structure, with properties calculated at the PBE level.

Cell and atoms, written as POSCAR:
```
RbHfAgTeSeS
1.0
-6.166 1.635 6.008
-2.771 0.014 -2.847
1.447 -10.188 -1.460
S Hf Te Se Rb Ag
2 2 2 2 2 2
direct
0.470 0.750 0.121
0.530 0.250 0.879
0.674 0.250 0.145
0.326 0.750 0.855
0.720 0.250 0.435
0.280 0.750 0.565
0.121 0.250 0.874
0.879 0.750 0.126
0.241 0.250 0.247
0.759 0.750 0.753
0.071 0.250 0.608
0.929 0.750 0.392
```

Computed properties:
- E (eV/f.u.) = -30.84
- crystal system = monoclinic
- space-group type = No. 11


Entry 10:
Below is a geometry-optimized AgGe2Te structure, with properties calculated at the PBE level.

Cell and atoms, written as POSCAR:
```
AgGe2Te
1.0
3.264 -1.667 3.396
2.983 3.219 2.389
-0.732 0.957 4.849
Ge Ag Te
2 1 1
direct
0.500 0.500 0.500
0.250 0.250 0.250
0.750 0.750 0.750
0.000 0.000 0.000
```

Computed properties:
- E (eV/f.u.) = -13.90
- crystal system = cubic
- space-group type = No. 216


Entry 11:
Below is a geometry-optimized Tm3HfC2S2 structure, with properties calculated at the PBE level.

Cell and atoms, written as POSCAR:
```
Tm3HfC2S2
1.0
-1.901 -2.959 0.563
1.921 0.343 -2.979
9.836 -5.226 5.741
Hf C Tm S
1 2 3 2
direct
0.000 0.000 0.899
0.667 0.333 0.988
0.667 0.333 0.503
0.000 0.000 0.606
0.333 0.667 0.396
0.333 0.667 0.100
0.333 0.667 0.761
0.000 0.000 0.246
```

Computed properties:
- E (eV/f.u.) = -60.50
- crystal system = trigonal
- space-group type = No. 156


Entry 12:
Below is a geometry-optimized YNbB2 structure, with properties calculated at the PBE level.

Cell and atoms, written as POSCAR:
```
YNbB2
1.0
-3.248 -1.616 2.367
-4.100 0.985 -0.990
-2.608 -3.023 -1.680
Y Nb B
1 1 2
direct
0.250 0.250 0.250
0.500 0.500 0.500
0.000 0.000 0.000
0.750 0.750 0.750
```

Computed properties:
- E (eV/f.u.) = -24.10
- crystal system = cubic
- space-group type = No. 216


Entry 13:
Below is a geometry-optimized YCuPbSeS2 structure, with properties calculated at the PBE level.

Cell and atoms, written as POSCAR:
```
YCuPbSeS2
1.0
-4.330 4.300 -8.261
-3.176 -2.344 0.445
-5.653 9.124 7.712
Y S Cu Se Pb
4 8 4 4 4
direct
0.506 0.250 0.755
0.006 0.250 0.745
0.994 0.750 0.255
0.494 0.750 0.245
0.243 0.750 0.177
0.757 0.250 0.823
0.743 0.750 0.323
0.438 0.750 0.887
0.562 0.250 0.113
0.257 0.250 0.677
0.062 0.250 0.387
0.938 0.750 0.613
0.742 0.250 0.221
0.242 0.250 0.279
0.758 0.750 0.721
0.258 0.750 0.779
0.070 0.750 0.895
0.430 0.250 0.395
0.930 0.250 0.105
0.570 0.750 0.605
0.742 0.750 0.999
0.258 0.250 0.001
0.758 0.250 0.499
0.242 0.750 0.501
```

Computed properties:
- E (eV/f.u.) = -32.10
- crystal system = orthorhombic
- space-group type = No. 62